DFT (PBE-GGA) results for Tc2AgTe2 after structural relaxation.

Structure (POSCAR):
```
Tc2AgTe2
1.0
-2.2203 2.2203 5.7550
2.2203 -2.2203 5.7550
2.2203 2.2203 -5.7550
Ag Tc Te
1 2 2
Direct
0.0000 0.0000 0.0000
0.7500 0.2500 0.5000
0.2500 0.7500 0.5000
0.3670 0.3670 0.0000
0.6330 0.6330 0.0000
```

Properties
Total magnetic moment, μB per formula unit: 0.007
Calculated total energy, eV/atom: -5.55
ρ, g/cm³: 8.181